## YHgBr (GGA-PBE)

Data for a relaxed YHgBr crystal.

Values from the calculation:
Spin magnetization in μB per formula unit: 0.000
SG: F-43m
Formation energy without anion corrections in eV per atom: -0.34
E in eV per atom: -3.16
Offset from the most stable computed form in meV per atom: 569
N(E_F) in states/eV/f.u.: 2.5

abc: 4.9582 4.9582 4.9582
angles: 60.00 60.00 60.00
Fractional positions:
Y 0.0000 0.0000 0.0000
Hg 0.5000 0.5000 0.5000
Br 0.7500 0.7500 0.7500